1.
# BaLaSe2

An optimized crystal structure of BaLaSe2 (PBE-GGA, Alexandria).

a b c (Å): 3.820 3.820 7.767
angles (deg): 90.00 90.00 90.00
Space group P4/mmm (No. 123)
Unique sites:
Ba: 0.000 0.000 0.000 [1 per cell]
La: 0.000 0.000 0.500 [1 per cell]
Se: 0.500 0.500 0.270 [2 per cell]

Computed properties:
Energy (eV for the cell shown): -20.93
Excess energy over the best structure of this formula in the dataset (meV per atom): 214
DOS(E_F) (states/eV per cell): 2.34
Formation energy without anion corrections (eV per atom): -1.78
Crystal system: tetragonal


2.
# PmAgCl

An optimized crystal structure of PmAgCl (PBE-GGA, Alexandria).

a b c (Å): 4.7528 4.7528 23.4668
angles (deg): 90.00 90.00 120.00
Space group R-3m (No. 166, hexagonal axes)
Unique sites:
Pm: 0.0000 0.0000 0.0747 [6 per cell]
Ag: 0.0000 0.0000 0.3361 [6 per cell]
Cl: 0.0000 0.0000 0.2057 [6 per cell]

Computed properties:
Energy (eV for the cell shown): -75.29
DOS(E_F) (states/eV per cell): 7.53
Formation energy without anion corrections (eV per atom): -1.03
Crystal system: trigonal


3.
# Ac2YAu4

An optimized crystal structure of Ac2YAu4 (PBE-GGA, Alexandria).

a b c (Å): 5.488 5.488 13.401
angles (deg): 90.00 90.00 90.00
Space group I4/mmm (No. 139)
Unique sites:
Ac: 0.000 0.000 0.215 [4 per cell]
Y: 0.000 0.000 0.500 [2 per cell]
Au: 0.000 0.500 0.108 [8 per cell]

Computed properties:
Energy relative to the elements (eV/atom): -0.68
Energy (eV for the cell shown): -65.11
DOS(E_F) (states/eV per cell): 13.43
Crystal system: tetragonal


4.
# SmB4O7

An optimized crystal structure of SmB4O7 (PBE-GGA, Alexandria).

a b c (Å): 10.904 4.459 4.281
angles (deg): 90.00 90.00 90.00
Space group Pmn2_1 (No. 31)
Unique sites:
Sm: 0.000 0.216 0.000 [2 per cell]
B: 0.122 0.676 0.490 [4 per cell]
B: 0.246 0.826 0.967 [4 per cell]
O: 0.000 0.753 0.367 [2 per cell]
O: 0.131 0.743 0.823 [4 per cell]
O: 0.147 0.361 0.429 [4 per cell]
O: 0.216 0.875 0.317 [4 per cell]

Computed properties:
Energy (eV for the cell shown): -189.48
DOS(E_F) (states/eV per cell): 1.18
Formation energy without anion corrections (eV per atom): -2.38
Crystal system: orthorhombic


5.
# MgCoSi2

An optimized crystal structure of MgCoSi2 (PBE-GGA, Alexandria).

a b c (Å): 2.8835 2.8835 23.8931
angles (deg): 90.00 90.00 120.00
Space group R3m (No. 160, hexagonal axes)
Unique sites:
Mg: 0.0000 0.0000 0.0000 [3 per cell]
Co: 0.0000 0.0000 0.7536 [3 per cell]
Si: 0.0000 0.0000 0.2365 [3 per cell]
Si: 0.0000 0.0000 0.4858 [3 per cell]

Computed properties:
Energy (eV for the cell shown): -57.21
DOS(E_F) (states/eV per cell): 8.02
Formation energy without anion corrections (eV per atom): 0.12
Crystal system: trigonal


6.
# Tl2In2Hg2Bi

An optimized crystal structure of Tl2In2Hg2Bi (PBE-GGA, Alexandria).

a b c (Å): 12.681 4.586 8.226
angles (deg): 90.00 108.75 90.00
Space group C2/m (No. 12)
Unique sites:
Tl: 0.237 0.000 0.161 [4 per cell]
In: 0.037 0.000 0.766 [4 per cell]
Hg: 0.176 0.000 0.526 [4 per cell]
Bi: 0.000 0.500 0.000 [2 per cell]

Computed properties:
Energy relative to the elements (eV/atom): 0.04
Energy (eV for the cell shown): -28.85
DOS(E_F) (states/eV per cell): 5.57
Crystal system: monoclinic


7.
# CaCoMo2

An optimized crystal structure of CaCoMo2 (PBE-GGA, Alexandria).

a b c (Å): 5.261 9.736 2.636
angles (deg): 90.00 90.00 90.00
Space group Cmmm (No. 65)
Unique sites:
Ca: 0.000 0.000 0.000 [2 per cell]
Co: 0.000 0.500 0.000 [2 per cell]
Mo: 0.250 0.250 0.500 [4 per cell]

Computed properties:
Energy relative to the elements (eV/atom): 0.75
Energy (eV for the cell shown): -55.54
Excess energy over the best structure of this formula in the dataset (meV per atom): 325
DOS(E_F) (states/eV per cell): 9.99
Crystal system: orthorhombic


8.
# TlPW2

An optimized crystal structure of TlPW2 (PBE-GGA, Alexandria).

a b c (Å): 4.093 4.093 8.167
angles (deg): 90.00 90.00 90.00
Space group I-4m2 (No. 119)
Unique sites:
Tl: 0.000 0.000 0.000 [2 per cell]
P: 0.000 0.500 0.250 [2 per cell]
W: 0.000 0.000 0.500 [2 per cell]
W: 0.000 0.500 0.750 [2 per cell]

Computed properties:
Energy relative to the elements (eV/atom): 1.00
Energy (eV for the cell shown): -59.33
Excess energy over the best structure of this formula in the dataset (meV per atom): 728
DOS(E_F) (states/eV per cell): 7.85
Crystal system: tetragonal


9.
# Np2CdIn8

An optimized crystal structure of Np2CdIn8 (PBE-GGA, Alexandria).

a b c (Å): 4.816 4.816 12.233
angles (deg): 90.00 90.00 90.00
Space group P4/mmm (No. 123)
Unique sites:
Np: 0.000 0.000 0.185 [2 per cell]
Cd: 0.000 0.000 0.500 [1 per cell]
In: 0.000 0.500 0.000 [2 per cell]
In: 0.000 0.500 0.359 [4 per cell]
In: 0.500 0.500 0.182 [2 per cell]

Computed properties:
Energy relative to the elements (eV/atom): 0.03
Energy (eV for the cell shown): -48.32
DOS(E_F) (states/eV per cell): 24.24
Crystal system: tetragonal


10.
# Fe2SbPt

An optimized crystal structure of Fe2SbPt (PBE-GGA, Alexandria).

a b c (Å): 3.873 3.873 8.186
angles (deg): 90.00 90.00 90.00
Space group I4/mmm (No. 139)
Unique sites:
Fe: 0.000 0.500 0.250 [4 per cell]
Sb: 0.000 0.000 0.000 [2 per cell]
Pt: 0.000 0.000 0.500 [2 per cell]

Computed properties:
Energy (eV for the cell shown): -54.41
DOS(E_F) (states/eV per cell): 3.19
Formation energy without anion corrections (eV per atom): -0.03
Crystal system: tetragonal


11.
# Ta2Tl2FeSe6

An optimized crystal structure of Ta2Tl2FeSe6 (PBE-GGA, Alexandria).

a b c (Å): 6.054 10.872 8.546
angles (deg): 90.00 102.62 90.00
Space group C2/m (No. 12)
Unique sites:
Ta: 0.000 0.137 0.000 [4 per cell]
Tl: 0.000 0.316 0.500 [4 per cell]
Fe: 0.000 0.500 0.000 [2 per cell]
Se: 0.203 0.334 0.171 [8 per cell]
Se: 0.241 0.500 0.793 [4 per cell]

Computed properties:
Energy (eV for the cell shown): -126.56
DOS(E_F) (states/eV per cell): 8.11
Formation energy without anion corrections (eV per atom): -0.50
Crystal system: monoclinic


12.
# PrSmP2

An optimized crystal structure of PrSmP2 (PBE-GGA, Alexandria).

a b c (Å): 5.876 5.876 11.761
angles (deg): 90.00 90.00 90.00
Space group I4_1/amd (No. 141, origin choice 2)
Unique sites:
Pr: 0.000 0.250 0.375 [4 per cell]
Sm: 0.000 0.250 0.875 [4 per cell]
P: 0.000 0.250 0.123 [8 per cell]

Computed properties:
Energy relative to the elements (eV/atom): -1.54
Energy (eV for the cell shown): -105.94
Excess energy over the best structure of this formula in the dataset (meV per atom): 1
DOS(E_F) (states/eV per cell): 2.21
Crystal system: tetragonal


13.
# NdCdHgRh

An optimized crystal structure of NdCdHgRh (PBE-GGA, Alexandria).

a b c (Å): 7.074 7.074 7.074
angles (deg): 90.00 90.00 90.00
Space group F-43m (No. 216)
Unique sites:
Nd: 0.000 0.000 0.000 [4 per cell]
Cd: 0.000 0.000 0.500 [4 per cell]
Hg: 0.250 0.250 0.250 [4 per cell]
Rh: 0.250 0.250 0.750 [4 per cell]

Computed properties:
Energy relative to the elements (eV/atom): -0.31
Energy (eV for the cell shown): -58.35
DOS(E_F) (states/eV per cell): 10.42
Crystal system: cubic


14.
# Y5Ho2Er5

An optimized crystal structure of Y5Ho2Er5 (PBE-GGA, Alexandria).

a b c (Å): 15.003 4.997 11.194
angles (deg): 90.00 116.54 90.00
Space group C2/m (No. 12)
Unique sites:
Y: 0.000 0.000 0.000 [2 per cell]
Y: 0.084 0.000 0.750 [4 per cell]
Y: 0.166 0.000 0.500 [4 per cell]
Ho: 0.083 0.500 0.249 [4 per cell]
Er: 0.000 0.500 0.500 [2 per cell]
Er: 0.167 0.500 0.000 [4 per cell]
Er: 0.250 0.000 0.249 [4 per cell]

Computed properties:
Energy relative to the elements (eV/atom): 0.03
Energy (eV for the cell shown): -127.96
DOS(E_F) (states/eV per cell): 35.08
Crystal system: monoclinic


15.
# Dy2HoSc

An optimized crystal structure of Dy2HoSc (PBE-GGA, Alexandria).

a b c (Å): 7.811 7.811 7.811
angles (deg): 90.00 90.00 90.00
Space group Fm-3m (No. 225)
Unique sites:
Dy: 0.250 0.250 0.250 [8 per cell]
Ho: 0.000 0.000 0.000 [4 per cell]
Sc: 0.000 0.000 0.500 [4 per cell]

Computed properties:
Energy relative to the elements (eV/atom): 0.13
Energy (eV for the cell shown): -78.37
Excess energy over the best structure of this formula in the dataset (meV per atom): 100
DOS(E_F) (states/eV per cell): 32.82
Crystal system: cubic


16.
# Pu3Ag2Rh3

An optimized crystal structure of Pu3Ag2Rh3 (PBE-GGA, Alexandria).

a b c (Å): 8.2013 8.2013 5.5552
angles (deg): 90.00 90.00 120.00
Space group P6_3/mcm (No. 193)
Unique sites:
Pu: 0.0000 0.2695 0.2500 [6 per cell]
Ag: 0.3333 0.6667 0.0000 [4 per cell]
Rh: 0.0000 0.3819 0.7500 [6 per cell]

Computed properties:
Energy relative to the elements (eV/atom): -0.26
Energy (eV for the cell shown): -145.65
DOS(E_F) (states/eV per cell): 46.19
Crystal system: hexagonal


17.
# SrOsPb2

An optimized crystal structure of SrOsPb2 (PBE-GGA, Alexandria).

a b c (Å): 4.6490 4.6490 17.3452
angles (deg): 90.00 90.00 120.00
Space group R-3m (No. 166, hexagonal axes)
Unique sites:
Sr: 0.0000 0.0000 0.0000 [3 per cell]
Os: 0.0000 0.0000 0.5000 [3 per cell]
Pb: 0.0000 0.0000 0.2214 [6 per cell]

Computed properties:
Energy relative to the elements (eV/atom): 0.24
Energy (eV for the cell shown): -58.05
DOS(E_F) (states/eV per cell): 10.31
Crystal system: trigonal


18.
# KTl8Pd4

An optimized crystal structure of KTl8Pd4 (PBE-GGA, Alexandria).

a b c (Å): 10.173 10.173 6.044
angles (deg): 90.00 90.00 90.00
Space group I4/mmm (No. 139)
Unique sites:
K: 0.000 0.000 0.000 [2 per cell]
Tl: 0.000 0.221 0.500 [8 per cell]
Tl: 0.000 0.337 0.000 [8 per cell]
Pd: 0.250 0.250 0.250 [8 per cell]

Computed properties:
Energy relative to the elements (eV/atom): -0.09
Energy (eV for the cell shown): -84.02
DOS(E_F) (states/eV per cell): 9.82
Crystal system: tetragonal


19.
# KHF6

An optimized crystal structure of KHF6 (PBE-GGA, Alexandria).

a b c (Å): 4.174 5.629 6.062
angles (deg): 108.52 109.80 90.17
Space group P-1 (No. 2)
Unique sites:
K: 0.000 0.000 0.000 [1 per cell]
H: 0.500 0.500 0.000 [1 per cell]
F: 0.195 0.718 0.386 [2 per cell]
F: 0.323 0.709 0.646 [2 per cell]
F: 0.495 0.292 0.987 [2 per cell]

Computed properties:
Energy (eV for the cell shown): -24.95
DOS(E_F) (states/eV per cell): 0.00
Crystal system: triclinic


20.
# AcSnTeO2

An optimized crystal structure of AcSnTeO2 (PBE-GGA, Alexandria).

a b c (Å): 5.651 13.608 5.903
angles (deg): 90.00 90.00 90.00
Space group Cmcm (No. 63)
Unique sites:
Ac: 0.000 0.101 0.250 [4 per cell]
Sn: 0.000 0.423 0.250 [4 per cell]
Te: 0.000 0.227 0.750 [4 per cell]
O: 0.235 0.500 0.000 [8 per cell]

Computed properties:
Energy (eV for the cell shown): -122.34
DOS(E_F) (states/eV per cell): 13.96
Formation energy without anion corrections (eV per atom): -1.88
Crystal system: orthorhombic


21.
# YHo2Sb2

An optimized crystal structure of YHo2Sb2 (PBE-GGA, Alexandria).

a b c (Å): 9.942 7.540 8.119
angles (deg): 90.00 112.56 90.00
Space group P2_1/c (No. 14)
Unique sites:
Y: 0.107 0.186 0.044 [4 per cell]
Ho: 0.251 0.626 0.250 [4 per cell]
Ho: 0.394 0.185 0.456 [4 per cell]
Sb: 0.091 0.548 0.841 [4 per cell]
Sb: 0.412 0.546 0.660 [4 per cell]

Computed properties:
Energy (eV for the cell shown): -112.60
DOS(E_F) (states/eV per cell): 15.91
Formation energy without anion corrections (eV per atom): -0.86
Crystal system: monoclinic


22.
# Th2Al3Zn4In

An optimized crystal structure of Th2Al3Zn4In (PBE-GGA, Alexandria).

a b c (Å): 4.322 4.322 10.760
angles (deg): 90.00 90.00 90.00
Space group P-4m2 (No. 115)
Unique sites:
Th: 0.000 0.500 0.241 [2 per cell]
Al: 0.000 0.500 0.873 [2 per cell]
Al: 0.500 0.500 0.500 [1 per cell]
Zn: 0.000 0.000 0.000 [1 per cell]
Zn: 0.000 0.500 0.647 [2 per cell]
Zn: 0.500 0.500 0.000 [1 per cell]
In: 0.000 0.000 0.500 [1 per cell]

Computed properties:
Energy relative to the elements (eV/atom): -0.32
Energy (eV for the cell shown): -37.09
DOS(E_F) (states/eV per cell): 3.26
Crystal system: tetragonal


23.
# Sm3Fe4Si4

An optimized crystal structure of Sm3Fe4Si4 (PBE-GGA, Alexandria).

a b c (Å): 7.186 7.186 7.186
angles (deg): 90.00 90.00 90.00
Space group I-43m (No. 217)
Unique sites:
Sm: 0.000 0.000 0.500 [6 per cell]
Fe: 0.127 0.127 0.873 [8 per cell]
Si: 0.190 0.190 0.190 [8 per cell]

Computed properties:
Energy (eV for the cell shown): -151.77
DOS(E_F) (states/eV per cell): 19.88
Formation energy without anion corrections (eV per atom): -0.56
Crystal system: cubic